{
  "formula": "PmEr7Th3",
  "functional": "PBE-GGA",
  "state": "optimized geometry",
  "ef_ev_per_fu": 2.3,
  "n_ef_per_ev_fu": 14.68,
  "lattice": [[7.0380, 0.0000, 0.0000], [-3.5190, 6.0951, 0.0000], [0.0000, 0.0000, 8.5186]],
  "species": ["Pm", "Er", "Er", "Er", "Er", "Er", "Er", "Er", "Th", "Th", "Th"],
  "frac_coords": [[0.0000, 0.0000, 0.0000], [0.0027, 0.5014, 0.9960], [0.3320, 0.1660, 0.6592], [0.3333, 0.6667, 0.6585], [0.4986, 0.5014, 0.9960], [0.4986, 0.9973, 0.9960], [0.8340, 0.1660, 0.6592], [0.8340, 0.6680, 0.6592], [0.1677, 0.3354, 0.3297], [0.1677, 0.8323, 0.3297], [0.6646, 0.8323, 0.3297]]
}